1) AcCe2Pb3: relaxed, GGA-PBE.

POSCAR file:
```
AcCe2Pb3
1.0
3.696 0.000 0.000
0.000 3.696 0.000
0.000 0.000 13.878
Ac Ce Pb
1 2 3
direct
0.000 0.000 0.000
0.000 0.000 0.339
0.000 0.000 0.661
0.500 0.500 0.177
0.500 0.500 0.500
0.500 0.500 0.823
```

Results
Crystal system: tetragonal
Space group: P4/mmm, No. 123

---

2) AcCe2Pb3: relaxed, GGA-PBE.

POSCAR file:
```
AcCe2Pb3
1.0
2.625 -7.828 0.000
2.625 7.828 0.000
0.000 0.000 4.634
Ac Ce Pb
1 2 3
direct
0.000 0.000 0.000
0.331 0.669 0.000
0.669 0.331 0.000
0.173 0.827 0.500
0.500 0.500 0.500
0.827 0.173 0.500
```

Results
Crystal system: orthorhombic
Space group: Cmmm, No. 65

---

Energy relative to the most stable one, in kJ/mol of atoms: 1) 0.0; 2) 0.6

---

1) AcCe2Pb2: relaxed, GGA-PBE.

POSCAR file:
```
AcCe2Pb2
1.0
4.957 -3.061 0.000
4.957 3.061 0.000
-2.261 0.000 5.382
Ac Ce Pb
1 2 2
direct
0.000 0.000 0.000
0.400 0.400 0.261
0.600 0.600 0.739
0.244 0.244 0.666
0.756 0.756 0.334
```

Results
Crystal system: monoclinic
Space group: C2/m, No. 12

---

2) AcCe2Pb2: relaxed, GGA-PBE.

POSCAR file:
```
AcCe2Pb2
1.0
5.173 0.000 0.000
-2.586 4.480 0.000
0.000 0.000 14.370
Ac Ce Pb
2 4 4
direct
0.333 0.667 0.250
0.667 0.333 0.750
0.333 0.667 0.522
0.333 0.667 0.978
0.667 0.333 0.022
0.667 0.333 0.478
0.000 0.000 0.121
0.000 0.000 0.379
0.000 0.000 0.621
0.000 0.000 0.879
```

Results
Crystal system: hexagonal
Space group: P6_3/mmc, No. 194

---

Energy relative to the most stable one, in kJ/mol of atoms: 1) 10.6; 2) 0.0

---

1) Ac3Ce2Pb3: relaxed, GGA-PBE.

POSCAR file:
```
Ac3Ce2Pb3
1.0
-2.234 2.624 11.980
2.234 -2.624 11.980
2.234 2.624 -11.980
Ac Ce Pb
3 2 3
direct
0.000 0.000 0.000
0.380 0.880 0.500
0.620 0.120 0.500
0.255 0.255 0.000
0.745 0.745 0.000
0.150 0.650 0.500
0.500 0.500 0.000
0.850 0.350 0.500
```

Results
Crystal system: orthorhombic
Space group: Immm, No. 71

---

2) Ac3Ce2Pb3: relaxed, GGA-PBE.

POSCAR file:
```
Ac3Ce2Pb3
1.0
9.884 0.000 0.000
-4.942 8.560 0.000
0.000 0.000 6.811
Ac Ce Pb
6 4 6
direct
0.000 0.251 0.250
0.000 0.749 0.750
0.251 0.000 0.250
0.251 0.251 0.750
0.749 0.000 0.750
0.749 0.749 0.250
0.333 0.667 0.000
0.333 0.667 0.500
0.667 0.333 0.000
0.667 0.333 0.500
0.000 0.397 0.750
0.000 0.603 0.250
0.397 0.000 0.750
0.397 0.397 0.250
0.603 0.000 0.250
0.603 0.603 0.750
```

Results
Crystal system: hexagonal
Space group: P6_3/mcm, No. 193

---

Energy relative to the most stable one, in kJ/mol of atoms: 1) 9.3; 2) 0.0

---

1) AcCePb: relaxed, GGA-PBE.

POSCAR file:
```
AcCePb
1.0
5.653 0.000 0.000
-2.827 4.896 0.000
0.000 0.000 3.471
Ac Ce Pb
1 1 1
direct
0.000 0.000 0.000
0.333 0.667 0.996
0.667 0.333 0.498
```

Results
Crystal system: trigonal
Space group: P3m1, No. 156

---

2) AcCePb: relaxed, GGA-PBE.

POSCAR file:
```
AcCePb
1.0
3.363 -3.336 0.000
3.363 3.336 0.000
-0.222 0.000 9.351
Ac Ce Pb
2 2 2
direct
0.248 0.248 0.357
0.752 0.752 0.643
0.213 0.787 0.000
0.787 0.213 0.000
0.263 0.263 0.743
0.737 0.737 0.257
```

Results
Crystal system: monoclinic
Space group: C2/m, No. 12

---

3) AcCePb: relaxed, GGA-PBE.

POSCAR file:
```
AcCePb
1.0
6.684 0.000 0.000
0.000 3.600 0.000
0.000 0.000 8.747
Ac Ce Pb
2 2 2
direct
0.000 0.000 0.000
0.500 0.000 0.000
0.250 0.000 0.378
0.750 0.000 0.622
0.250 0.500 0.698
0.750 0.500 0.302
```

Results
Crystal system: orthorhombic
Space group: Pmma, No. 51

---

Energy relative to the most stable one, in kJ/mol of atoms: 1) 38.6; 2) 0.0; 3) 31.3

---

1) Ac2CePb: relaxed, GGA-PBE.

POSCAR file:
```
Ac2CePb
1.0
4.432 0.000 0.000
0.000 4.432 0.000
0.000 0.000 7.481
Ac Ce Pb
2 1 1
direct
0.000 0.000 0.233
0.000 0.000 0.767
0.500 0.500 0.500
0.500 0.500 0.000
```

Results
Crystal system: tetragonal
Space group: P4/mmm, No. 123

---

2) Ac2CePb: relaxed, GGA-PBE.

POSCAR file:
```
Ac2CePb
1.0
1.847 1.066 12.820
-1.847 1.066 12.820
0.000 -2.133 12.820
Ac Ce Pb
2 1 1
direct
0.091 0.091 0.091
0.909 0.909 0.909
0.000 0.000 0.000
0.500 0.500 0.500
```

Results
Crystal system: trigonal
Space group: R-3m, No. 166

---

3) Ac2CePb: relaxed, GGA-PBE.

POSCAR file:
```
Ac2CePb
1.0
0.000 4.176 4.176
4.176 0.000 4.176
4.176 4.176 0.000
Ac Ce Pb
2 1 1
direct
0.250 0.250 0.250
0.750 0.750 0.750
0.000 0.000 0.000
0.500 0.500 0.500
```

Results
Crystal system: cubic
Space group: Fm-3m, No. 225

---

4) Ac2CePb: relaxed, GGA-PBE.

POSCAR file:
```
Ac2CePb
1.0
5.275 0.000 0.000
0.000 5.275 0.000
0.000 0.000 5.077
Ac Ce Pb
2 1 1
direct
0.000 0.500 0.000
0.500 0.000 0.000
0.000 0.000 0.500
0.500 0.500 0.500
```

Results
Crystal system: tetragonal
Space group: P4/mmm, No. 123

---

Energy relative to the most stable one, in kJ/mol of atoms: 1) 5.7; 2) 33.7; 3) 18.2; 4) 0.0

---

1) Ac2CePb3: relaxed, GGA-PBE.

POSCAR file:
```
Ac2CePb3
1.0
6.702 -3.387 0.000
6.702 3.387 0.000
-4.418 0.000 9.942
Ac Ce Pb
4 2 6
direct
0.174 0.175 0.087
0.175 0.174 0.587
0.825 0.826 0.413
0.826 0.825 0.913
0.499 0.501 0.750
0.501 0.499 0.250
0.001 0.999 0.250
0.358 0.359 0.429
0.359 0.358 0.929
0.641 0.642 0.071
0.642 0.641 0.571
0.999 0.001 0.750
```

Results
Crystal system: monoclinic
Space group: C2/c, No. 15

---

2) Ac2CePb3: relaxed, GGA-PBE.

POSCAR file:
```
Ac2CePb3
1.0
2.683 -8.074 0.000
2.683 8.074 0.000
0.000 0.000 9.329
Ac Ce Pb
4 2 6
direct
0.000 0.000 0.000
0.000 0.000 0.500
0.334 0.666 0.000
0.666 0.334 0.000
0.330 0.670 0.500
0.670 0.330 0.500
0.170 0.830 0.258
0.170 0.830 0.742
0.500 0.500 0.257
0.500 0.500 0.743
0.830 0.170 0.258
0.830 0.170 0.742
```

Results
Crystal system: orthorhombic
Space group: Cmmm, No. 65

---

Energy relative to the most stable one, in kJ/mol of atoms: 1) 6.2; 2) 0.0